# 1
A plane-wave DFT calculation with PBE was carried out for a relaxed structure of Zr6Pb2C.

As for the energy above the most stable polymorph in this dataset: 0.0 kJ/mol of atoms. As for the energy of formation: -28.74 kJ/mol of atoms.

The space group is I4/mmm (No. 139) and the conventional cell measures 6.6850, 6.6850 and 8.5220 Å, with angles of 90.00, 90.00 and 90.00 degrees. Symmetry generates all atoms from Zr at (0.0000, 0.0000, 0.2298), Zr at (0.2447, 0.2447, 0.5000), Pb at (0.0000, 0.5000, 0.2500) and C at (0.0000, 0.0000, 0.5000).



# 2
A plane-wave DFT calculation with PBE was carried out for a relaxed structure of KSc2Ag.

As for the energy of formation: 22.46 kJ/mol of atoms.

The space group is R3m (No. 160, hexagonal axes) and the conventional cell measures 3.4276, 3.4276 and 32.9327 Å, with angles of 90.00, 90.00 and 120.00 degrees. Symmetry generates all atoms from K at (0.0000, 0.0000, 0.0000), Sc at (0.0000, 0.0000, 0.5142), Sc at (0.0000, 0.0000, 0.7717) and Ag at (0.0000, 0.0000, 0.2462).



# 3
A plane-wave DFT calculation with PBE was carried out for a relaxed structure of Ac6Bi5Pb.

As for the energy of formation: -86.17 kJ/mol of atoms.

The space group is C2/m (No. 12) and the conventional cell measures 8.4602, 14.6596 and 8.4290 Å, with angles of 90.00, 109.58 and 90.00 degrees. Symmetry generates all atoms from Ac at (0.2495, 0.1669, 0.2485), Ac at (0.2500, 0.0000, 0.7499), Bi at (0.0000, 0.1678, 0.5000), Bi at (0.0000, 0.3338, 0.0000), Bi at (0.0000, 0.5000, 0.5000) and Pb at (0.0000, 0.0000, 0.0000).